(1)
The following is a DFT calculation (PBE-GGA) of a geometry-optimized SrIn3Ir structure. Values from VASP.

Results
D(E_F) = 1.853 states/eV/atom
mass density = 4.8 g/cm3
spin magnetization = 0.333 μB/atom
volume = 215.3 Å³/cell
energy of formation = 8.75 eV/f.u.
space-group type = Pm-3m, No. 221

Quantum ESPRESSO input file:
```
&SYSTEM
  ibrav = 0, nat = 5, ntyp = 3
/
ATOMIC_SPECIES
Sr 87.62 Sr.upf
In 114.82 In.upf
Ir 192.22 Ir.upf
ATOMIC_POSITIONS angstrom
Sr 0.000 0.000 0.000
In 0.000 0.000 2.997
In 0.000 2.997 0.000
In 2.997 0.000 0.000
Ir 2.997 2.997 2.997
CELL_PARAMETERS angstrom
5.994 0.000 0.000
0.000 5.994 0.000
0.000 0.000 5.994
```

(2)
The following is a DFT calculation (PBE-GGA) of a geometry-optimized TlGa4Ag2 structure. Values from VASP.

Results
D(E_F) = 0.325 states/eV/atom
mass density = 8.2 g/cm3
spin magnetization = 0.000 μB/atom
volume = 142.2 Å³/cell
energy of formation = 0.32 eV/f.u.
space-group type = P-1, No. 2

Quantum ESPRESSO input file:
```
&SYSTEM
  ibrav = 0, nat = 7, ntyp = 3
/
ATOMIC_SPECIES
Tl 204.38 Tl.upf
Ga 69.72 Ga.upf
Ag 107.87 Ag.upf
ATOMIC_POSITIONS angstrom
Tl 0.000 0.000 0.000
Ga 1.362 2.350 2.321
Ga 4.177 4.002 5.586
Ga 5.074 3.088 0.022
Ga 7.889 4.741 3.287
Ag 4.011 2.333 3.344
Ag 5.240 4.757 2.265
CELL_PARAMETERS angstrom
5.262 0.000 0.000
2.507 4.820 0.000
1.481 2.270 5.609
```

(3)
The following is a DFT calculation (PBE-GGA) of a geometry-optimized Nd3In4Hg4 structure. Values from VASP.

Results
D(E_F) = 0.496 states/eV/atom
mass density = 9.7 g/cm3
spin magnetization = 0.000 μB/atom
volume = 290.1 Å³/cell
energy of formation = -3.96 eV/f.u.
space-group type = P-1, No. 2

Quantum ESPRESSO input file:
```
&SYSTEM
  ibrav = 0, nat = 11, ntyp = 3
/
ATOMIC_SPECIES
Nd 144.24 Nd.upf
In 114.82 In.upf
Hg 200.59 Hg.upf
ATOMIC_POSITIONS angstrom
Nd 0.000 0.000 0.000
Nd 1.886 4.962 10.996
Nd 3.780 2.501 4.299
In 1.890 2.486 7.284
In 1.902 5.016 2.811
In 3.765 2.447 12.485
In 3.776 4.977 8.012
Hg 1.879 5.003 5.638
Hg 1.897 2.507 1.432
Hg 3.769 4.955 13.863
Hg 3.788 2.460 9.658
CELL_PARAMETERS angstrom
3.780 0.000 0.000
0.001 5.017 0.000
1.885 2.446 15.296
```

(4)
The following is a DFT calculation (PBE-GGA) of a geometry-optimized Cr2FeBRh structure. Values from VASP.

Results
D(E_F) = 0.961 states/eV/atom
mass density = 5.7 g/cm3
spin magnetization = 0.853 μB/atom
volume = 79.4 Å³/cell
energy of formation = 8.48 eV/f.u.
space-group type = P4/mmm, No. 123

Quantum ESPRESSO input file:
```
&SYSTEM
  ibrav = 0, nat = 5, ntyp = 4
/
ATOMIC_SPECIES
Cr 52.00 Cr.upf
Fe 55.84 Fe.upf
B 10.81 B.upf
Rh 102.91 Rh.upf
ATOMIC_POSITIONS angstrom
Cr 0.000 2.113 0.000
Cr 2.113 0.000 0.000
Fe 0.000 0.000 0.000
B 2.113 2.113 2.223
Rh 0.000 0.000 2.223
CELL_PARAMETERS angstrom
4.226 0.000 0.000
0.000 4.226 0.000
0.000 0.000 4.447
```

(5)
The following is a DFT calculation (PBE-GGA) of a geometry-optimized Tc2TeCF structure. Values from VASP.

Results
D(E_F) = 0.476 states/eV/atom
mass density = 5.2 g/cm3
spin magnetization = 1.378 μB/atom
volume = 114.2 Å³/cell
space-group type = P4/mmm, No. 123
energy relative to the elements, uncorrected = 195 kJ per mole of atoms

Quantum ESPRESSO input file:
```
&SYSTEM
  ibrav = 0, nat = 5, ntyp = 4
/
ATOMIC_SPECIES
Tc 98.00 Tc.upf
Te 127.60 Te.upf
C 12.01 C.upf
F 19.00 F.upf
ATOMIC_POSITIONS angstrom
Tc 0.000 2.598 0.000
Tc 2.598 0.000 0.000
Te 0.000 0.000 0.000
C 0.000 0.000 2.114
F 2.598 2.598 2.114
CELL_PARAMETERS angstrom
5.197 0.000 0.000
0.000 5.197 0.000
0.000 0.000 4.228
```

(6)
The following is a DFT calculation (PBE-GGA) of a geometry-optimized LiErSc2 structure. Values from VASP.

Results
D(E_F) = 1.354 states/eV/atom
mass density = 4.5 g/cm3
spin magnetization = 0.000 μB/atom
volume = 97.1 Å³/cell
energy of formation = 0.46 eV/f.u.
space-group type = P4/mmm, No. 123

Quantum ESPRESSO input file:
```
&SYSTEM
  ibrav = 0, nat = 4, ntyp = 3
/
ATOMIC_SPECIES
Li 6.94 Li.upf
Er 167.26 Er.upf
Sc 44.96 Sc.upf
ATOMIC_POSITIONS angstrom
Li 0.000 0.000 0.000
Er 0.000 0.000 4.170
Sc 1.706 1.706 1.821
Sc 1.706 1.706 6.519
CELL_PARAMETERS angstrom
3.413 0.000 0.000
0.000 3.413 0.000
0.000 0.000 8.340
```

(7)
The following is a DFT calculation (PBE-GGA) of a geometry-optimized OsPbW3 structure. Values from VASP.

Results
D(E_F) = 1.318 states/eV/atom
mass density = 14.0 g/cm3
spin magnetization = 0.256 μB/atom
volume = 112.3 Å³/cell
energy of formation = 9.33 eV/f.u.
space-group type = Pm-3m, No. 221

Quantum ESPRESSO input file:
```
&SYSTEM
  ibrav = 0, nat = 5, ntyp = 3
/
ATOMIC_SPECIES
Os 190.23 Os.upf
Pb 207.20 Pb.upf
W 183.84 W.upf
ATOMIC_POSITIONS angstrom
Os 0.000 0.000 0.000
Pb 2.412 2.412 2.412
W 0.000 0.000 2.412
W 0.000 2.412 0.000
W 2.412 0.000 0.000
CELL_PARAMETERS angstrom
4.824 0.000 0.000
0.000 4.824 0.000
0.000 0.000 4.824
```

(8)
The following is a DFT calculation (PBE-GGA) of a geometry-optimized Th3SiGe structure. Values from VASP.

Results
D(E_F) = 1.089 states/eV/atom
mass density = 9.0 g/cm3
spin magnetization = 0.000 μB/atom
volume = 293.9 Å³/cell
space-group type = P-1, No. 2
energy relative to the elements, uncorrected = -37 kJ per mole of atoms

Quantum ESPRESSO input file:
```
&SYSTEM
  ibrav = 0, nat = 10, ntyp = 3
/
ATOMIC_SPECIES
Th 232.04 Th.upf
Si 28.09 Si.upf
Ge 72.64 Ge.upf
ATOMIC_POSITIONS angstrom
Th -1.306 0.218 1.664
Th -2.252 2.313 4.842
Th -0.897 4.237 1.655
Th 0.966 -0.064 4.848
Th 2.322 1.860 1.660
Th 1.375 3.954 4.839
Si -3.554 4.171 2.969
Si 3.623 0.001 3.533
Ge -3.562 -0.002 6.244
Ge 3.631 4.174 0.258
CELL_PARAMETERS angstrom
7.192 0.000 0.000
-3.535 6.284 0.000
-3.588 -2.111 6.502
```

(9)
The following is a DFT calculation (PBE-GGA) of a geometry-optimized CaPd2F6 structure. Values from VASP.

Results
mass density = 4.2 g/cm3
spin magnetization = 0.000 μB/atom
volume = 292.3 Å³/cell
space-group type = C2/c, No. 15
energy relative to the elements, uncorrected = -195 kJ per mole of atoms

Quantum ESPRESSO input file:
```
&SYSTEM
  ibrav = 0, nat = 18, ntyp = 3
/
ATOMIC_SPECIES
Ca 40.08 Ca.upf
Pd 106.42 Pd.upf
F 19.00 F.upf
ATOMIC_POSITIONS angstrom
Ca 5.691 2.303 5.230
Ca 6.029 -2.303 1.743
Pd 2.833 0.023 3.701
Pd 3.171 -0.023 0.214
Pd 8.548 0.023 6.759
Pd 8.886 -0.023 3.272
F 0.549 0.426 6.808
F 2.963 0.992 1.931
F 0.887 -0.426 3.321
F 4.668 0.611 4.172
F 2.625 -0.992 5.417
F 5.007 -0.611 0.685
F 6.713 0.611 6.288
F 9.095 0.992 1.556
F 7.051 -0.611 2.802
F 10.833 0.426 3.652
F 8.757 -0.992 5.042
F 11.171 -0.426 0.165
CELL_PARAMETERS angstrom
6.198 -3.382 0.000
6.198 3.382 0.000
-0.676 0.000 6.973
```

(10)
The following is a DFT calculation (PBE-GGA) of a geometry-optimized Be2Pd2Au structure. Values from VASP.

Results
D(E_F) = 0.314 states/eV/atom
mass density = 10.7 g/cm3
spin magnetization = 0.000 μB/atom
volume = 133.4 Å³/cell
energy of formation = -1.42 eV/f.u.
space-group type = P4/mbm, No. 127

Quantum ESPRESSO input file:
```
&SYSTEM
  ibrav = 0, nat = 10, ntyp = 3
/
ATOMIC_SPECIES
Be 9.01 Be.upf
Pd 106.42 Pd.upf
Au 196.97 Au.upf
ATOMIC_POSITIONS angstrom
Be 1.104 2.398 0.000
Be 2.398 5.901 0.000
Be 4.607 1.104 0.000
Be 5.901 4.607 0.000
Pd 0.964 4.466 1.359
Pd 2.539 0.964 1.359
Pd 4.466 6.042 1.359
Pd 6.042 2.539 1.359
Au 0.000 0.000 1.359
Au 3.503 3.503 1.359
CELL_PARAMETERS angstrom
7.005 0.000 0.000
0.000 7.005 0.000
0.000 0.000 2.718
```

(11)
The following is a DFT calculation (PBE-GGA) of a geometry-optimized LaInC2F structure. Values from VASP.

Results
D(E_F) = 0.539 states/eV/atom
mass density = 2.9 g/cm3
spin magnetization = 1.000 μB/atom
volume = 170.1 Å³/cell
space-group type = P4/mmm, No. 123
energy relative to the elements, uncorrected = 150 kJ per mole of atoms

Quantum ESPRESSO input file:
```
&SYSTEM
  ibrav = 0, nat = 5, ntyp = 4
/
ATOMIC_SPECIES
La 138.91 La.upf
In 114.82 In.upf
C 12.01 C.upf
F 19.00 F.upf
ATOMIC_POSITIONS angstrom
La 0.000 0.000 0.000
In 3.084 3.084 0.000
C 0.000 3.084 2.235
C 3.084 0.000 2.235
F 0.000 0.000 2.235
CELL_PARAMETERS angstrom
6.169 0.000 0.000
0.000 6.169 0.000
0.000 0.000 4.470
```

(12)
The following is a DFT calculation (PBE-GGA) of a geometry-optimized Sm2Be4Si3Ni structure. Values from VASP.

Results
D(E_F) = 0.360 states/eV/atom
mass density = 5.5 g/cm3
spin magnetization = 0.000 μB/atom
volume = 145.2 Å³/cell
space-group type = P-4m2, No. 115
energy relative to the elements, uncorrected = -45 kJ per mole of atoms

Quantum ESPRESSO input file:
```
&SYSTEM
  ibrav = 0, nat = 10, ntyp = 4
/
ATOMIC_SPECIES
Sm 150.36 Sm.upf
Be 9.01 Be.upf
Si 28.09 Si.upf
Ni 58.69 Ni.upf
ATOMIC_POSITIONS angstrom
Sm 0.000 1.929 2.430
Sm 1.929 0.000 7.319
Be 0.000 0.000 0.000
Be 0.000 1.929 6.114
Be 1.929 0.000 3.635
Be 1.929 1.929 0.000
Si 0.000 1.929 8.451
Si 1.929 0.000 1.298
Si 1.929 1.929 4.874
Ni 0.000 0.000 4.874
CELL_PARAMETERS angstrom
3.859 0.000 0.000
0.000 3.859 0.000
0.000 0.000 9.749
```